[1]
Crystalline Pm3Y2Tm6Pu at its relaxed geometry. Source: Alexandria, functional PBE.

Unit cell a=6.129 b=6.129 c=11.628 alpha=95.04 beta=95.04 gamma=120.00
Each line ends with the local moment (μB).
Sites, in units of the cell vectors:
Pm 0.167 0.833 0.500  -0.03
Pm 0.833 0.167 0.500  -0.03
Pm 0.500 0.500 0.500  -0.03
Y 0.333 0.667 0.000  0.05
Y 0.667 0.333 0.000  0.05
Tm 0.918 0.589 0.754  0.06
Tm 0.753 0.753 0.246  0.06
Tm 0.082 0.411 0.246  0.06
Tm 0.589 0.918 0.754  0.06
Tm 0.247 0.247 0.754  0.06
Tm 0.411 0.082 0.246  0.06
Pu 0.000 0.000 0.000  5.58

Values from the calculation:
total magnetic moment: 6.48 μB/f.u.
DOS at the Fermi energy: 1.8838 states/eV per atom
ΔE_f: 0.046 eV/atom
space-group type: C2/m (12)
VASP energy: -5.65 eV/atom

***

[2]
Crystalline Rb3LiNp2Se6 at its relaxed geometry. Source: Alexandria, functional PBE.

Unit cell a=7.359 b=7.359 c=8.284 alpha=98.44 beta=98.44 gamma=120.03
Each line ends with the local moment (μB).
Sites, in units of the cell vectors:
Rb 0.160 0.840 0.500  0.00
Rb 0.840 0.160 0.500  0.00
Rb 0.500 0.500 0.500  0.00
Li 0.000 0.000 0.000  0.00
Np 0.333 0.667 0.000  3.40
Np 0.667 0.333 0.000  3.40
Se 0.936 0.588 0.807  -0.11
Se 0.717 0.717 0.189  -0.11
Se 0.064 0.412 0.193  -0.11
Se 0.588 0.936 0.807  -0.11
Se 0.283 0.283 0.811  -0.11
Se 0.412 0.064 0.193  -0.11

Values from the calculation:
total magnetic moment: 6.00 μB/f.u.
DOS at the Fermi energy: 1.2886 states/eV per atom
space-group type: C2/m (12)
VASP energy: -5.51 eV/atom

***

[3]
Crystalline HfSc3In3Se8 at its relaxed geometry. Source: Alexandria, functional PBE.

Unit cell a=7.775 b=7.775 c=8.937 alpha=115.78 beta=90.00 gamma=120.03
Sites, in units of the cell vectors:
Hf 0.000 0.000 0.500
Sc 0.500 0.000 0.500
Sc 0.500 0.500 0.500
Sc 0.000 0.500 0.500
In 0.000 0.000 0.000
In 0.000 0.500 0.000
In 0.500 0.500 0.000
Se 0.267 0.534 0.301
Se 0.733 0.466 0.699
Se 0.768 0.537 0.300
Se 0.232 0.463 0.700
Se 0.768 0.031 0.300
Se 0.232 0.969 0.700
Se 0.263 0.032 0.300
Se 0.737 0.968 0.700

Values from the calculation:
total magnetic moment: 0.00 μB/f.u.
DOS at the Fermi energy: 0.0109 states/eV per atom
space-group type: R-3m (166)
VASP energy: -5.57 eV/atom

***

[4]
Crystalline Ac2Cu3Sn4Au at its relaxed geometry. Source: Alexandria, functional PBE.

Unit cell a=4.657 b=4.657 c=10.904 alpha=90.00 beta=90.00 gamma=90.00
Sites, in units of the cell vectors:
Ac 0.500 0.000 0.256
Ac 0.000 0.500 0.744
Cu 0.000 0.000 0.500
Cu 0.500 0.000 0.871
Cu 0.000 0.500 0.129
Sn 0.500 0.500 0.000
Sn 0.000 0.000 0.000
Sn 0.500 0.000 0.633
Sn 0.000 0.500 0.367
Au 0.500 0.500 0.500

Values from the calculation:
total magnetic moment: 0.00 μB/f.u.
DOS at the Fermi energy: 0.3139 states/eV per atom
ΔE_f: -0.492 eV/atom
space-group type: P-4m2 (115)
VASP energy: -4.47 eV/atom

***

[5]
Crystalline Sm2DyAl3 at its relaxed geometry. Source: Alexandria, functional PBE.

Unit cell a=5.930 b=10.393 c=7.915 alpha=131.04 beta=112.00 gamma=90.00
Sites, in units of the cell vectors:
Sm 0.166 0.916 0.833
Sm 0.167 0.416 0.833
Sm 0.833 0.584 0.167
Sm 0.834 0.084 0.167
Dy 0.500 0.250 0.500
Dy 0.500 0.750 0.500
Al 0.000 0.750 0.000
Al 0.000 0.250 0.000
Al 0.500 0.750 0.000
Al 0.000 0.000 0.500
Al 0.000 0.500 0.500
Al 0.500 0.250 0.000

Values from the calculation:
total magnetic moment: 0.00 μB/f.u.
ΔE to the lowest computed polymorph: 335 meV per atom
DOS at the Fermi energy: 0.9744 states/eV per atom
ΔE_f: -0.048 eV/atom
space-group type: Imma (74)
VASP energy: -4.26 eV/atom

***

[6]
Crystalline RuSe3Br at its relaxed geometry. Source: Alexandria, functional PBE.

Unit cell a=4.902 b=4.902 c=4.902 alpha=90.00 beta=90.00 gamma=90.00
Sites, in units of the cell vectors:
Ru 0.000 0.000 0.000
Se 0.000 0.500 0.000
Se 0.000 0.000 0.500
Se 0.500 0.000 0.000
Br 0.500 0.500 0.500

Values from the calculation:
total magnetic moment: 0.00 μB/f.u.
ΔE to the lowest computed polymorph: 0 meV per atom
DOS at the Fermi energy: 1.3311 states/eV per atom
space-group type: Pm-3m (221)
VASP energy: -3.85 eV/atom

***

[7]
Crystalline SiBiO2F at its relaxed geometry. Source: Alexandria, functional PBE.

Unit cell a=3.636 b=3.636 c=4.880 alpha=90.00 beta=90.00 gamma=90.00
Sites, in units of the cell vectors:
Si 0.000 0.000 0.000
Bi 0.500 0.500 0.500
O 0.000 0.500 0.000
O 0.500 0.000 0.000
F 0.000 0.000 0.500

Values from the calculation:
total magnetic moment: 0.00 μB/f.u.
DOS at the Fermi energy: 0.1994 states/eV per atom
space-group type: P4/mmm (123)
VASP energy: -5.43 eV/atom

***

[8]
Crystalline La5Co2Sb at its relaxed geometry. Source: Alexandria, functional PBE.

Unit cell a=8.014 b=8.014 c=8.927 alpha=116.67 beta=116.67 gamma=90.00
Sites, in units of the cell vectors:
La 0.525 0.710 0.734
La 0.790 0.975 0.266
La 0.000 0.000 0.000
La 0.500 0.500 0.000
La 0.210 0.025 0.734
La 0.710 0.210 0.734
La 0.025 0.525 0.734
La 0.290 0.790 0.266
La 0.975 0.475 0.266
La 0.475 0.290 0.266
Co 0.142 0.358 0.000
Co 0.642 0.142 0.000
Co 0.358 0.858 0.000
Co 0.858 0.642 0.000
Sb 0.750 0.750 0.500
Sb 0.250 0.250 0.500

Values from the calculation:
total magnetic moment: 0.00 μB/f.u.
DOS at the Fermi energy: 1.0049 states/eV per atom
space-group type: I4/mcm (140)
VASP energy: -5.77 eV/atom